1.
Np3Ni7Ge4 | PBE | relaxed

Unit cell a=4.055 b=7.867 c=7.549 alpha=70.96 beta=74.42 gamma=75.07
Fractional positions:
1 Ni 0.503 0.198 0.797
2 Ni 0.000 0.000 0.000
3 Ni 0.125 0.656 0.095
4 Ni 0.875 0.344 0.905
5 Ni 0.324 0.801 0.551
6 Ni 0.676 0.199 0.449
7 Ni 0.497 0.802 0.203
8 Ge 0.125 0.099 0.652
9 Ge 0.334 0.519 0.814
10 Ge 0.875 0.901 0.348
11 Ge 0.666 0.481 0.186
12 Np 0.310 0.193 0.188
13 Np 0.690 0.807 0.812
14 Np 0.000 0.500 0.500

Output
- DOS at the Fermi energy: 34.351 states/eV per cell
- Total energy: -7.2706 eV per atom
- M_tot: 10.2 μB/f.u.
- Formation energy: -0.2876 eV/atom

***

2.
NpNi3Ge2 | PBE | relaxed

Unit cell a=3.849 b=8.098 c=9.432 alpha=106.60 beta=90.00 gamma=103.75
Fractional positions:
1 Ni 0.500 0.000 0.500
2 Ni 0.954 0.908 0.657
3 Ni 0.678 0.355 0.969
4 Ni 0.214 0.427 0.391
5 Ni 0.322 0.645 0.031
6 Ni 0.786 0.573 0.609
7 Ni 0.046 0.092 0.343
8 Ni 0.621 0.242 0.199
9 Ni 0.379 0.758 0.801
10 Ge 0.640 0.281 0.458
11 Ge 0.465 0.930 0.223
12 Ge 0.802 0.603 0.870
13 Ge 0.198 0.397 0.130
14 Ge 0.535 0.070 0.777
15 Ge 0.360 0.719 0.542
16 Np 0.000 0.000 0.000
17 Np 0.160 0.319 0.705
18 Np 0.840 0.681 0.295

Output
- DOS at the Fermi energy: 35.687 states/eV per cell
- Total energy: -6.9275 eV per atom
- M_tot: 3.9 μB/f.u.
- Formation energy: -0.3409 eV/atom